# 1
This record from the Alexandria database describes crystalline Y2Al4Pd3Pt at its relaxed geometry. The functional is PBE.

Unit cell a=4.2975 b=4.2975 c=10.1225 alpha=90.00 beta=90.00 gamma=90.00
Closest atoms and distances in Å follow each position.
Space group P-4m2 (No. 115)
Unique sites:
Y 0.0000 0.5000 0.2472  8 Al 3.27-3.34, 6 Pd 3.28-3.30, 2 Pt 3.30
Al 0.0000 0.0000 0.5000  4 Pd 2.53
Al 0.0000 0.5000 0.8729  3 Pd 2.44-2.50, 2 Pt 2.50
Al 0.5000 0.5000 0.5000  4 Pd 2.53
Pd 0.0000 0.0000 0.0000  4 Al 2.50
Pd 0.0000 0.5000 0.6316  5 Al 2.44-2.53
Pt 0.5000 0.5000 0.0000  4 Al 2.50

Results
* DFT formation energy: -925 meV/atom

# 2
This record from the Alexandria database describes crystalline YAl4PdPt2 at its relaxed geometry. The functional is PBE.

Unit cell a=4.2796 b=4.2796 c=26.1837 alpha=90.00 beta=90.00 gamma=120.00
Closest atoms and distances in Å follow each position.
Space group R-3m (No. 166, hexagonal axes)
Unique sites:
Y 0.0000 0.0000 0.0000  6 Al 3.06
Al 0.0000 0.0000 0.1327  3 Pd 2.63, 4 Pt 2.68-2.82
Al 0.0000 0.0000 0.4020  3 Pt 2.55, 1 Pd 2.57
Pd 0.0000 0.0000 0.5000  8 Al 2.57-2.63
Pt 0.0000 0.0000 0.2405  7 Al 2.55-2.82

Results
* DFT formation energy: -886 meV/atom

# 3
This record from the Alexandria database describes crystalline YAl3PdPt at its relaxed geometry. The functional is PBE.

Unit cell a=6.3819 b=12.3121 c=5.7292 alpha=90.00 beta=90.00 gamma=90.00
Closest atoms and distances in Å follow each position.
Space group Cmcm (No. 63)
Unique sites:
Y 0.0000 0.2156 0.2500  1 Pd 2.71, 2 Pt 3.00
Al 0.0000 0.3516 0.7500  1 Pt 2.55, 1 Pd 2.62
Al 0.2021 0.0000 0.0000  2 Pd 2.51, 1 Al 2.58, 2 Pt 2.62
Pd 0.0000 0.4355 0.2500  5 Al 2.51-2.62, 1 Y 2.71
Pt 0.0000 0.1446 0.7500  5 Al 2.55-2.62

Results
* DFT formation energy: -714 meV/atom